No. 1
## PrSnBi (PBE)

Data for PrSnBi after structural relaxation.

Computed properties:
Total DFT energy (no corrections), eV/f.u.: -13.6
Excess energy over the best structure of this formula in the dataset, meV per atom: 0
Theoretical density, g cm⁻³: 7.3

a = 5.3163 Å, b = 5.3163 Å, c = 5.3163 Å
α = 60.00°, β = 60.00°, γ = 60.00°
Closest atoms and distances in Å follow each position.
Fractional coordinates of all 3 atoms:
Sn 0.0000 0.0000 0.0000  4 Pr 3.26, 4 Bi 3.26
Bi 0.2500 0.2500 0.2500  4 Sn 3.26
Pr 0.7500 0.7500 0.7500  4 Sn 3.26

No. 2
## Co8As (PBE)

Data for Co8As after structural relaxation.

Computed properties:
Total DFT energy (no corrections), eV/f.u.: -61.2
Theoretical density, g cm⁻³: 4.8

a = 4.2541 Å, b = 4.2541 Å, c = 27.6562 Å
α = 90.18°, β = 90.18°, γ = 48.53°
Closest atoms and distances in Å follow each position.
Fractional coordinates of all 18 atoms:
Co 0.2479 0.2479 0.4294  12 Co 2.44-2.50
Co 0.9494 0.9494 0.4572  12 Co 2.44-2.50
Co 0.7503 0.7503 0.2863  3 As 2.42-2.46, 6 Co 2.46-2.49
As 0.9524 0.9524 0.7395  6 Co 2.42-2.47
Co 0.4518 0.4518 0.5998  12 Co 2.43-2.49
Co 0.5482 0.5482 0.4002  12 Co 2.43-2.49
Co 0.7521 0.7521 0.5706  12 Co 2.44-2.50
As 0.0476 0.0476 0.2605  6 Co 2.42-2.47
Co 0.5481 0.5481 0.6836  9 Co 2.42-2.49, 2 As 2.45
Co 0.4519 0.4519 0.3164  9 Co 2.42-2.49, 2 As 2.45
Co 0.3500 0.3500 0.5144  12 Co 2.45-2.49
Co 0.1562 0.1562 0.3445  11 Co 2.41-2.51, 1 As 2.47
Co 0.0506 0.0506 0.5428  12 Co 2.44-2.50
Co 0.2497 0.2497 0.7138  3 As 2.42-2.45, 6 Co 2.46-2.49
Co 0.6500 0.6500 0.4856  12 Co 2.45-2.49
Co 0.8437 0.8437 0.6555  11 Co 2.41-2.51, 1 As 2.47
Co 0.1518 0.1518 0.6286  12 Co 2.41-2.51
Co 0.8482 0.8482 0.3714  12 Co 2.41-2.51

No. 3
## YHg2Au (PBE)

Data for YHg2Au after structural relaxation.

Computed properties:
Formation energy from the elements, meV/atom: -455
Total DFT energy (no corrections), eV/f.u.: -12.1
Theoretical density, g cm⁻³: 13.1

a = 4.9799 Å, b = 4.9799 Å, c = 4.9799 Å
α = 60.00°, β = 60.00°, γ = 60.00°
Closest atoms and distances in Å follow each position.
Fractional coordinates of all 4 atoms:
Hg 0.0000 0.0000 0.0000  4 Hg 3.05, 4 Y 3.05
Au 0.5000 0.5000 0.5000  4 Y 3.05, 4 Hg 3.05
Hg 0.2500 0.2500 0.2500  4 Hg 3.05, 4 Au 3.05
Y 0.7500 0.7500 0.7500  4 Au 3.05, 4 Hg 3.05

No. 4
## Sr3TcO6 (PBE)

Data for Sr3TcO6 after structural relaxation.

Computed properties:
Total DFT energy (no corrections), eV/f.u.: -68.4
Theoretical density, g cm⁻³: 5.2

a = 5.8011 Å, b = 6.0554 Å, c = 10.1192 Å
α = 90.00°, β = 124.62°, γ = 90.00°
Closest atoms and distances in Å follow each position.
Fractional coordinates of all 20 atoms:
O 0.1046 0.7346 0.4361  1 Tc 1.95
Sr 0.7616 0.4464 0.2463  5 O 2.48-2.70
Sr 0.5000 0.0000 0.0000  6 O 2.40-2.45
Tc 0.0000 0.5000 0.0000  6 O 1.93-1.95
Sr 0.7616 0.0536 0.7463  5 O 2.48-2.70
Sr 0.2384 0.5536 0.7537  5 O 2.48-2.70
O 0.7755 0.6759 0.0462  1 Tc 1.93
O 0.6790 0.4559 0.7810  1 Tc 1.94
Tc 0.0000 0.0000 0.5000  6 O 1.93-1.95
O 0.3210 0.9559 0.7190  1 Tc 1.94
Sr 0.2384 0.9464 0.2537  5 O 2.48-2.70
O 0.2245 0.1759 0.4538  1 Tc 1.93
O 0.8954 0.2346 0.0639  1 Tc 1.95
O 0.3210 0.5441 0.2190  1 Tc 1.94
O 0.8954 0.2654 0.5639  1 Tc 1.95
O 0.2245 0.3241 0.9538  1 Tc 1.93
O 0.1046 0.7654 0.9361  1 Tc 1.95
O 0.7755 0.8241 0.5462  1 Tc 1.93
O 0.6790 0.0441 0.2810  1 Tc 1.94
Sr 0.5000 0.5000 0.5000  6 O 2.40-2.45

No. 5
## YOsNO (PBE)

Data for YOsNO after structural relaxation.

Computed properties:
Total DFT energy (no corrections), eV/f.u.: -35.9
Excess energy over the best structure of this formula in the dataset, meV per atom: 180
Theoretical density, g cm⁻³: 9.3

a = 3.8207 Å, b = 3.8207 Å, c = 7.5580 Å
α = 90.00°, β = 90.00°, γ = 90.00°
Closest atoms and distances in Å follow each position.
Fractional coordinates of all 8 atoms:
Os 0.2500 0.7500 0.5000  4 N 2.13
Y 0.7500 0.7500 0.8507  4 O 2.22
O 0.2500 0.7500 0.0000  4 Y 2.22
O 0.7500 0.2500 0.0000  4 Y 2.22
Y 0.2500 0.2500 0.1493  4 O 2.22
N 0.2500 0.2500 0.6240  4 Os 2.13
N 0.7500 0.7500 0.3760  4 Os 2.13
Os 0.7500 0.2500 0.5000  4 N 2.13

No. 6
## Zr3CoC2 (PBE)

Data for Zr3CoC2 after structural relaxation.

Computed properties:
Total DFT energy (no corrections), eV/f.u.: -54.3
Theoretical density, g cm⁻³: 6.7

a = 3.3186 Å, b = 3.3186 Å, c = 18.4284 Å
α = 90.00°, β = 90.00°, γ = 120.00°
Closest atoms and distances in Å follow each position.
Fractional coordinates of all 12 atoms:
Zr 0.0000 0.0000 0.0000  6 C 2.38
C 0.3333 0.6667 0.0763  6 Zr 2.29-2.38
Zr 0.6667 0.3333 0.3556  3 C 2.29
Zr 0.0000 0.0000 0.5000  6 C 2.38
Co 0.0000 0.0000 0.2500  6 Zr 2.73
Zr 0.3333 0.6667 0.8556  3 C 2.29
C 0.6667 0.3333 0.9237  6 Zr 2.29-2.38
C 0.3333 0.6667 0.4237  6 Zr 2.29-2.38
C 0.6667 0.3333 0.5763  6 Zr 2.29-2.38
Co 0.0000 0.0000 0.7500  6 Zr 2.73
Zr 0.3333 0.6667 0.6444  3 C 2.29
Zr 0.6667 0.3333 0.1444  3 C 2.29

No. 7
## Ta4ZnCuN2 (PBE)

Data for Ta4ZnCuN2 after structural relaxation.

Computed properties:
Total DFT energy (no corrections), eV/f.u.: -72.7
Theoretical density, g cm⁻³: 13.2

a = 3.1133 Å, b = 3.1133 Å, c = 13.2450 Å
α = 90.00°, β = 90.00°, γ = 120.00°
Closest atoms and distances in Å follow each position.
Fractional coordinates of all 8 atoms:
Ta 0.6667 0.3333 0.1555  3 N 2.15
N 0.3333 0.6667 0.7554  6 Ta 2.15-2.16
N 0.3333 0.6667 0.2446  6 Ta 2.15-2.16
Ta 0.0000 0.0000 0.3352  3 N 2.16
Ta 0.0000 0.0000 0.6648  3 N 2.16
Zn 0.6667 0.3333 0.5000  6 Ta 2.83, 6 Zn 3.11
Cu 0.0000 0.0000 0.0000  6 Ta 2.73
Ta 0.6667 0.3333 0.8445  3 N 2.15

No. 8
## PAu6 (PBE)

Data for PAu6 after structural relaxation.

Computed properties:
Total DFT energy (no corrections), eV/f.u.: -24.0
Theoretical density, g cm⁻³: 13.9

a = 6.8628 Å, b = 6.8628 Å, c = 6.8628 Å
α = 73.49°, β = 73.49°, γ = 73.49°
Closest atoms and distances in Å follow each position.
Fractional coordinates of all 14 atoms:
Au 0.2449 0.7190 0.7190  1 P 2.47
Au 0.5153 0.8725 0.8725  1 P 2.50, 1 Au 2.74
Au 0.7190 0.7190 0.2449  1 P 2.47
Au 0.1275 0.4847 0.1275  1 P 2.50, 1 Au 2.74
P 0.3704 0.3704 0.3704  6 Au 2.47-2.50
Au 0.2810 0.7551 0.2810  1 P 2.47
Au 0.1275 0.1275 0.4847  1 P 2.50, 1 Au 2.74
Au 0.4847 0.1275 0.1275  1 P 2.50, 1 Au 2.74
P 0.6296 0.6296 0.6296  6 Au 2.47-2.50
Au 0.7551 0.2810 0.2810  1 P 2.47
Au 0.8725 0.5153 0.8725  1 P 2.50, 1 Au 2.74
Au 0.8725 0.8725 0.5153  1 P 2.50, 1 Au 2.74
Au 0.2810 0.2810 0.7551  1 P 2.47
Au 0.7190 0.2449 0.7190  1 P 2.47